1.
# Rb4Pm3CrSe8

Rb4Pm3CrSe8 after structural relaxation (PBE, Alexandria via LeMat-Bulk).

## Properties
**ΔE_f (raw)**: -23.228 eV per formula unit
**Total energy**: -4.928 eV/atom
**Spin magnetization**: 0.187 μB per atom

abc: 14.697 8.484 9.381
angles: 90.00 121.49 90.00
Space group C2/m (No. 12)
One atom of each set of equivalent atoms:
Rb 0.000 0.000 0.000 [2 per cell]
Rb 0.000 0.500 0.000 [2 per cell]
Rb 0.250 0.250 0.000 [4 per cell]
Pm 0.000 0.000 0.500 [2 per cell]
Pm 0.250 0.250 0.500 [4 per cell]
Cr 0.000 0.500 0.500 [2 per cell]
Se 0.013 0.271 0.311 [8 per cell]
Se 0.217 0.500 0.690 [4 per cell]
Se 0.235 0.000 0.704 [4 per cell]

---

2.
# Ce3SmSb4

Ce3SmSb4 after structural relaxation (PBE, Alexandria via LeMat-Bulk).

## Properties
**ΔE_f (raw)**: -8.585 eV per formula unit
**Total energy**: -5.949 eV/atom
**Fermi-level density of states**: 2.662 states/eV per atom
**ΔE to the lowest computed polymorph**: 0.003 eV per atom
**Spin magnetization**: 0.333 μB per atom

abc: 6.355 6.355 6.355
angles: 90.00 90.00 90.00
Space group Pm-3m (No. 221)
One atom of each set of equivalent atoms:
Ce 0.000 0.000 0.500 [3 per cell]
Sm 0.500 0.500 0.500 [1 per cell]
Sb 0.000 0.000 0.000 [1 per cell]
Sb 0.000 0.500 0.500 [3 per cell]

---

3.
# TeRhCl2

TeRhCl2 after structural relaxation (PBE, Alexandria via LeMat-Bulk).

## Properties
**ΔE_f (raw)**: -1.310 eV per formula unit
**Total energy**: -3.874 eV/atom
**Fermi-level density of states**: 0.575 states/eV per atom
**ΔE to the lowest computed polymorph**: 0.083 eV per atom
**Spin magnetization**: 0.000 μB per atom

abc: 5.478 12.275 3.305
angles: 90.00 90.00 90.00
Space group Cmmm (No. 65)
One atom of each set of equivalent atoms:
Te 0.000 0.000 0.000 [2 per cell]
Rh 0.000 0.500 0.000 [2 per cell]
Cl 0.000 0.364 0.500 [4 per cell]

---

4.
# PuTaAs2

PuTaAs2 after structural relaxation (PBE, Alexandria via LeMat-Bulk).

## Properties
**Total energy**: -8.977 eV/atom
**Fermi-level density of states**: 1.986 states/eV per atom
**ΔE to the lowest computed polymorph**: 0.533 eV per atom
**Energy of formation**: -0.106 eV/atom
**Spin magnetization**: 1.591 μB per atom

abc: 3.2886 3.2886 28.9364
angles: 90.00 90.00 120.00
Space group R-3m (No. 166, hexagonal axes)
One atom of each set of equivalent atoms:
Pu 0.0000 0.0000 0.0000 [3 per cell]
Ta 0.0000 0.0000 0.5000 [3 per cell]
As 0.0000 0.0000 0.1031 [6 per cell]

---

5.
# TaCu4As

TaCu4As after structural relaxation (PBE, Alexandria via LeMat-Bulk).

## Properties
**Total energy**: -5.231 eV/atom
**Fermi-level density of states**: 0.985 states/eV per atom
**Energy of formation**: 0.250 eV/atom
**Spin magnetization**: 0.000 μB per atom

abc: 6.945 6.945 6.945
angles: 90.00 90.00 90.00
Space group F-43m (No. 216)
One atom of each set of equivalent atoms:
Ta 0.000 0.000 0.000 [4 per cell]
Cu 0.125 0.125 0.375 [16 per cell]
As 0.250 0.250 0.750 [4 per cell]

---

6.
# CdSi

CdSi after structural relaxation (PBE, Alexandria via LeMat-Bulk).

## Properties
**ΔE_f (raw)**: 0.605 eV per formula unit
**Total energy**: -2.867 eV/atom
**Fermi-level density of states**: 0.198 states/eV per atom
**Spin magnetization**: 0.000 μB per atom

abc: 3.675 4.501 5.487
angles: 112.07 93.73 97.71
Space group P-1 (No. 2)
One atom of each set of equivalent atoms:
Cd 0.230 0.123 0.326 [2 per cell]
Si 0.245 0.527 0.870 [2 per cell]

---

7.
# ScPaW4

ScPaW4 after structural relaxation (PBE, Alexandria via LeMat-Bulk).

## Properties
**Total energy**: -11.178 eV/atom
**Fermi-level density of states**: 0.352 states/eV per atom
**Energy of formation**: 0.095 eV/atom
**Spin magnetization**: 0.000 μB per atom

abc: 7.745 7.745 7.745
angles: 90.00 90.00 90.00
Space group F-43m (No. 216)
One atom of each set of equivalent atoms:
Sc 0.000 0.000 0.000 [4 per cell]
Pa 0.250 0.250 0.750 [4 per cell]
W 0.125 0.125 0.375 [16 per cell]

---

8.
# RbBaCu2Ag

RbBaCu2Ag after structural relaxation (PBE, Alexandria via LeMat-Bulk).

## Properties
**Total energy**: -2.338 eV/atom
**Fermi-level density of states**: 0.670 states/eV per atom
**Energy of formation**: 0.449 eV/atom
**Spin magnetization**: 0.000 μB per atom

abc: 5.286 5.286 5.816
angles: 90.00 90.00 90.00
Space group P4/mmm (No. 123)
One atom of each set of equivalent atoms:
Rb 0.000 0.000 0.000 [1 per cell]
Ba 0.500 0.500 0.000 [1 per cell]
Cu 0.000 0.500 0.500 [2 per cell]
Ag 0.500 0.500 0.500 [1 per cell]

---

9.
# InTeSe2

InTeSe2 after structural relaxation (PBE, Alexandria via LeMat-Bulk).

## Properties
**ΔE_f (raw)**: -0.219 eV per formula unit
**Total energy**: -3.267 eV/atom
**Fermi-level density of states**: 0.833 states/eV per atom
**ΔE to the lowest computed polymorph**: 0.163 eV per atom
**Spin magnetization**: 0.000 μB per atom

abc: 3.982 3.991 7.828
angles: 90.00 90.00 90.00
Space group Pmmm (No. 47)
One atom of each set of equivalent atoms:
In 0.000 0.000 0.000 [1 per cell]
Te 0.500 0.000 0.500 [1 per cell]
Se 0.000 0.500 0.500 [1 per cell]
Se 0.500 0.500 0.000 [1 per cell]

---

10.
# Cd3In12Se5

Cd3In12Se5 after structural relaxation (PBE, Alexandria via LeMat-Bulk).

## Properties
**ΔE_f (raw)**: -1.563 eV per formula unit
**Total energy**: -2.730 eV/atom
**Fermi-level density of states**: 0.550 states/eV per atom
**Spin magnetization**: 0.000 μB per atom

abc: 17.333 17.333 17.333
angles: 90.00 90.00 90.00
Space group Ia-3d (No. 230)
One atom of each set of equivalent atoms:
Cd 0.000 0.250 0.125 [24 per cell]
In 0.013 0.072 0.656 [96 per cell]
Se 0.000 0.000 0.000 [16 per cell]
Se 0.000 0.250 0.375 [24 per cell]

---

11.
# CaMgSn

CaMgSn after structural relaxation (PBE, Alexandria via LeMat-Bulk).

## Properties
**Total energy**: -3.091 eV/atom
**Fermi-level density of states**: 0.170 states/eV per atom
**Energy of formation**: -0.558 eV/atom
**Spin magnetization**: 0.000 μB per atom

abc: 7.861 4.723 8.789
angles: 90.00 90.00 90.00
Space group Pnma (No. 62)
One atom of each set of equivalent atoms:
Ca 0.019 0.250 0.184 [4 per cell]
Mg 0.145 0.250 0.563 [4 per cell]
Sn 0.235 0.750 0.384 [4 per cell]

---

12.
# Li2LaAuF

Li2LaAuF after structural relaxation (PBE, Alexandria via LeMat-Bulk).

## Properties
**ΔE_f (raw)**: -6.901 eV per formula unit
**Total energy**: -4.161 eV/atom
**Fermi-level density of states**: 0.283 states/eV per atom
**Spin magnetization**: 0.000 μB per atom

abc: 4.215 4.215 5.255
angles: 90.00 90.00 90.00
Space group P4/mmm (No. 123)
One atom of each set of equivalent atoms:
Li 0.000 0.500 0.000 [2 per cell]
La 0.000 0.000 0.500 [1 per cell]
Au 0.500 0.500 0.500 [1 per cell]
F 0.000 0.000 0.000 [1 per cell]

---

13.
# MgNb2Ni9

MgNb2Ni9 after structural relaxation (PBE, Alexandria via LeMat-Bulk).

## Properties
**Total energy**: -6.391 eV/atom
**Fermi-level density of states**: 0.228 states/eV per atom
**Energy of formation**: -0.244 eV/atom
**Spin magnetization**: 0.000 μB per atom

abc: 3.675 3.675 10.979
angles: 90.00 90.00 90.00
Space group P4/mmm (No. 123)
One atom of each set of equivalent atoms:
Mg 0.000 0.000 0.000 [1 per cell]
Nb 0.000 0.000 0.327 [2 per cell]
Ni 0.000 0.500 0.169 [4 per cell]
Ni 0.000 0.500 0.500 [2 per cell]
Ni 0.500 0.500 0.000 [1 per cell]
Ni 0.500 0.500 0.336 [2 per cell]